Entry 1:
Material: KAl2Ru
Method: DFT, PBE
State: optimized geometry

POSCAR file:
```
KAl2Ru
1.0
0.000 3.328 3.328
3.328 0.000 3.328
3.328 3.328 0.000
Ru K Al
1 1 2
Cartesian
3.328 3.328 3.328 Ru
0.000 0.000 0.000 K
1.664 1.664 1.664 Al
4.992 4.992 4.992 Al
```

Computed properties:
Fermi-level density of states ... 3.7 states/eV/f.u.
Energy relative to the elements ... 0.544 eV/atom
Excess energy over the best structure of this formula in the dataset ... 649 meV/atom
DFT total energy ... -15.68 eV per cell

Entry 2:
Material: K2AlRu
Method: DFT, PBE
State: optimized geometry

POSCAR file:
```
K2AlRu
1.0
4.607 -0.002 -0.007
-2.212 6.125 0.003
0.183 0.880 3.162
Ru K Al
1 2 1
Cartesian
-1.015 3.502 1.583 Ru
0.000 0.000 0.000 K
2.395 0.439 1.577 K
1.198 3.061 -0.002 Al
```

Computed properties:
Fermi-level density of states ... 1.9 states/eV/f.u.
Energy relative to the elements ... 0.864 eV/atom
DFT total energy ... -11.76 eV per cell

Entry 3:
Material: KAlRu
Method: DFT, PBE
State: optimized geometry

POSCAR file:
```
KAlRu
1.0
3.008 0.000 0.000
-1.504 2.605 0.000
0.000 0.000 7.720
Ru K Al
1 1 1
Cartesian
0.000 1.737 5.463 Ru
1.504 0.868 2.706 K
0.000 0.000 7.271 Al
```

Computed properties:
Fermi-level density of states ... 2.7 states/eV/f.u.
Energy relative to the elements ... 0.517 eV/atom
Excess energy over the best structure of this formula in the dataset ... 344 meV/atom
DFT total energy ... -12.56 eV per cell

Entry 4:
Material: KAl3Ru
Method: DFT, PBE
State: optimized geometry

POSCAR file:
```
KAl3Ru
1.0
5.226 0.000 0.000
0.000 5.226 0.000
0.000 0.000 5.226
Ru K Al
1 1 3
Cartesian
2.613 2.613 2.613 Ru
0.000 0.000 0.000 K
0.000 2.613 0.000 Al
0.000 0.000 2.613 Al
2.613 0.000 0.000 Al
```

Computed properties:
Fermi-level density of states ... 3.0 states/eV/f.u.
Energy relative to the elements ... 2.343 eV/atom
Excess energy over the best structure of this formula in the dataset ... 2564 meV/atom
DFT total energy ... -9.88 eV per cell

Entry 5:
Material: KAl2Ru
Method: DFT, PBE
State: optimized geometry

POSCAR file:
```
KAl2Ru
1.0
-0.484 -1.632 3.960
-1.008 -4.159 0.509
5.612 -3.386 1.627
Ru K Al
1 1 2
Cartesian
1.030 -2.294 1.524 Ru
3.090 -6.883 4.571 K
-0.406 -6.049 4.492 Al
0.974 -4.330 3.024 Al
```

Computed properties:
Fermi-level density of states ... 2.1 states/eV/f.u.
Energy relative to the elements ... -0.021 eV/atom
Excess energy over the best structure of this formula in the dataset ... 84 meV/atom
DFT total energy ... -17.94 eV per cell

Entry 6:
Material: KAlRu
Method: DFT, PBE
State: optimized geometry

POSCAR file:
```
KAlRu
1.0
-1.213 -4.283 -2.101
-0.037 -4.130 2.676
-4.274 -2.168 1.121
Ru K Al
1 1 1
Cartesian
0.000 0.000 0.000 Ru
-4.142 -7.936 1.273 K
-2.762 -5.290 0.848 Al
```

Computed properties:
Fermi-level density of states ... 7.4 states/eV/f.u.
Energy relative to the elements ... 1.953 eV/atom
Excess energy over the best structure of this formula in the dataset ... 1779 meV/atom
DFT total energy ... -8.26 eV per cell

Entry 7:
Material: K2AlRu
Method: DFT, PBE
State: optimized geometry

POSCAR file:
```
K2AlRu
1.0
-3.805 -2.510 -2.316
1.052 -3.546 -3.530
-0.798 -4.945 1.026
Ru K Al
1 2 1
Cartesian
-2.663 -8.250 -3.616 Ru
0.000 0.000 0.000 K
-0.888 -2.750 -1.205 K
-1.776 -5.500 -2.410 Al
```

Computed properties:
Fermi-level density of states ... 3.2 states/eV/f.u.
Energy relative to the elements ... 0.895 eV/atom
DFT total energy ... -11.63 eV per cell

Entry 8:
Material: K2AlRu
Method: DFT, PBE
State: optimized geometry

POSCAR file:
```
K2AlRu
1.0
3.465 0.011 0.000
-0.011 3.465 0.000
0.000 0.000 10.157
Ru K Al
1 2 1
Cartesian
0.000 0.000 6.141 Ru
0.000 0.000 9.322 K
1.727 1.738 3.394 K
1.727 1.738 6.536 Al
```

Computed properties:
Fermi-level density of states ... 1.6 states/eV/f.u.
Energy relative to the elements ... 0.205 eV/atom
DFT total energy ... -14.39 eV per cell

Entry 9:
Material: KAl3Ru
Method: DFT, PBE
State: optimized geometry

POSCAR file:
```
KAl3Ru
1.0
-2.520 1.996 3.606
1.529 -3.472 2.991
3.827 2.702 1.179
Ru K Al
1 1 3
Cartesian
0.000 0.000 0.000 Ru
1.418 0.613 3.888 K
0.765 -1.736 1.495 Al
1.913 1.351 0.590 Al
-1.260 0.998 1.803 Al
```

Computed properties:
Fermi-level density of states ... 0.2 states/eV/f.u.
Energy relative to the elements ... -0.220 eV/atom
Excess energy over the best structure of this formula in the dataset ... 0 meV/atom
DFT total energy ... -22.70 eV per cell

Entry 10:
Material: K2AlRu
Method: DFT, PBE
State: optimized geometry

POSCAR file:
```
K2AlRu
1.0
10.390 -0.003 0.053
9.814 3.412 0.053
0.517 0.087 3.496
Ru K Al
1 2 1
Cartesian
15.541 2.622 2.702 Ru
2.553 0.431 3.081 K
8.325 1.405 2.216 K
5.180 0.874 0.901 Al
```

Computed properties:
Fermi-level density of states ... 2.1 states/eV/f.u.
Energy relative to the elements ... 0.214 eV/atom
DFT total energy ... -14.36 eV per cell

Entry 11:
Material: KAlRu
Method: DFT, PBE
State: optimized geometry

POSCAR file:
```
KAlRu
1.0
-1.181 3.922 2.957
-2.639 -0.867 -4.219
-1.709 -1.562 1.390
Ru K Al
1 1 1
Cartesian
-3.573 -0.568 -0.673 Ru
-2.239 1.803 1.030 K
-1.426 -1.304 1.160 Al
```

Computed properties:
Fermi-level density of states ... 3.3 states/eV/f.u.
Energy relative to the elements ... 0.813 eV/atom
Excess energy over the best structure of this formula in the dataset ... 639 meV/atom
DFT total energy ... -11.68 eV per cell

Entry 12:
Material: KAl2Ru
Method: DFT, PBE
State: optimized geometry

POSCAR file:
```
KAl2Ru
1.0
8.233 -0.003 -0.005
6.686 4.804 0.005
-7.233 -3.105 2.414
Ru K Al
1 1 2
Cartesian
3.130 1.945 1.210 Ru
6.432 2.070 0.000 K
1.529 0.492 0.000 Al
4.055 -0.410 1.205 Al
```

Computed properties:
Fermi-level density of states ... 1.6 states/eV/f.u.
Energy relative to the elements ... -0.019 eV/atom
Excess energy over the best structure of this formula in the dataset ... 85 meV/atom
DFT total energy ... -17.94 eV per cell